(1)
Material: BaSr2Ca
Method: DFT, SCAN
State: single point on PBEsol structure

Summary:
Offset from the most stable computed form   0.3 kJ per mole of atoms
Mass density   2.95 g/cm3
DFT formation energy   0.030 eV per atom
DFT total energy   -23.41 eV per atom

abc: 6.5509 6.5509 6.5509
angles: 60.00 60.00 60.00
Sites, in units of the cell vectors:
Ba (0.0000, 0.0000, 0.0000)
Sr (0.2500, 0.2500, 0.2500)
Sr (0.7500, 0.7500, 0.7500)
Ca (0.5000, 0.5000, 0.5000)

***

(2)
Material: La2InSe
Method: DFT, SCAN
State: single point on PBEsol structure

Summary:
Offset from the most stable computed form   15.9 kJ per mole of atoms
Mass density   6.43 g/cm3
Raw formation energy   -1194 meV/atom
DFT total energy   -36.11 eV per atom

abc: 8.6403 8.6403 8.6403
angles: 154.59 153.83 36.79
Sites, in units of the cell vectors:
La (0.0000, 0.0000, 0.0000)
La (0.7227, 0.2227, 0.5000)
In (0.3850, 0.3850, 0.0000)
Se (0.1429, 0.6429, 0.5000)

***

(3)
Material: Ba2ZrP
Method: DFT, SCAN
State: single point on PBEsol structure

Summary:
Mass density   4.93 g/cm3
DFT formation energy   -0.442 eV per atom
DFT total energy   -30.49 eV per atom

abc: 9.9774 9.9774 3.7798
angles: 100.84 100.84 21.20
Sites, in units of the cell vectors:
Ba (0.1548, 0.1548, 0.1540)
Ba (0.8452, 0.8452, 0.8460)
Zr (0.0000, 0.0000, 0.5000)
P (0.5000, 0.5000, 0.0000)

***

(4)
Material: Ca2CuSe
Method: DFT, SCAN
State: single point on PBEsol structure

Summary:
Mass density   4.16 g/cm3
Raw formation energy   -874 meV/atom
DFT total energy   -14.52 eV per atom

abc: 4.9344 4.9344 3.6474
angles: 90.00 90.00 90.00
Sites, in units of the cell vectors:
Ca (0.0000, 0.5000, 0.0000)
Ca (0.5000, 0.0000, 0.0000)
Cu (0.0000, 0.0000, 0.5000)
Se (0.5000, 0.5000, 0.5000)

***

(5)
Material: ZrScP2
Method: DFT, SCAN
State: single point on PBEsol structure

Summary:
Offset from the most stable computed form   62.3 kJ per mole of atoms
Mass density   3.33 g/cm3
DFT formation energy   -0.962 eV per atom
DFT total energy   -17.39 eV per atom

abc: 7.1122 7.1122 7.1122
angles: 131.54 131.54 70.95
Sites, in units of the cell vectors:
Zr (0.0000, 0.0000, 0.0000)
Zr (0.7500, 0.2500, 0.5000)
Sc (0.2500, 0.7500, 0.5000)
Sc (0.5000, 0.5000, 0.0000)
P (0.1218, 0.6250, 0.9968)
P (0.3750, 0.3718, 0.4968)
P (0.6282, 0.1250, 0.0032)
P (0.8750, 0.8782, 0.5032)

***

(6)
Material: LiIrRh2
Method: DFT, SCAN
State: single point on PBEsol structure

Summary:
Offset from the most stable computed form   0.3 kJ per mole of atoms
Mass density   12.77 g/cm3
DFT formation energy   -0.153 eV per atom
DFT total energy   -35.41 eV per atom

abc: 2.6669 4.3068 4.5849
angles: 90.00 90.00 90.00
Sites, in units of the cell vectors:
Li (0.0000, 0.0000, 0.0000)
Ir (0.0000, 0.5000, 0.3399)
Rh (0.5000, 0.0000, 0.5046)
Rh (0.5000, 0.5000, 0.8490)

***

(7)
Material: LiCaSi3
Method: DFT, SCAN
State: single point on PBEsol structure

Summary:
Mass density   2.43 g/cm3
Raw formation energy   392 meV/atom
DFT total energy   -8.03 eV per atom

abc: 4.4752 4.4752 4.4752
angles: 90.00 90.00 90.00
Sites, in units of the cell vectors:
Li (0.0000, 0.0000, 0.0000)
Ca (0.5000, 0.5000, 0.5000)
Si (0.0000, 0.0000, 0.5000)
Si (0.0000, 0.5000, 0.0000)
Si (0.5000, 0.0000, 0.0000)

***

(8)
Material: CsTb2Cu3Se5
Method: DFT, SCAN
State: single point on PBEsol structure

Summary:
Mass density   6.86 g/cm3
Raw formation energy   -1259 meV/atom
DFT total energy   -26.47 eV per atom

abc: 7.4787 7.4787 17.1345
angles: 90.00 90.00 148.42
Sites, in units of the cell vectors:
Cs (0.0606, 0.9394, 0.7500)
Cs (0.9394, 0.0606, 0.2500)
Tb (0.1928, 0.8072, 0.0913)
Tb (0.1928, 0.8072, 0.4087)
Tb (0.8072, 0.1928, 0.5913)
Tb (0.8072, 0.1928, 0.9087)
Cu (0.3433, 0.6567, 0.7500)
Cu (0.4150, 0.5850, 0.0290)
Cu (0.4150, 0.5850, 0.4710)
Cu (0.5850, 0.4150, 0.5290)
Cu (0.5850, 0.4150, 0.9710)
Cu (0.6567, 0.3433, 0.2500)
Se (0.1654, 0.8346, 0.5710)
Se (0.1654, 0.8346, 0.9290)
Se (0.2397, 0.7603, 0.2500)
Se (0.4412, 0.5588, 0.6134)
Se (0.4412, 0.5588, 0.8866)
Se (0.5588, 0.4412, 0.1134)
Se (0.5588, 0.4412, 0.3866)
Se (0.7603, 0.2397, 0.7500)
Se (0.8346, 0.1654, 0.0710)
Se (0.8346, 0.1654, 0.4290)

***

(9)
Material: HgSb2As
Method: DFT, SCAN
State: single point on PBEsol structure

Summary:
Offset from the most stable computed form   0.0 kJ per mole of atoms
Mass density   8.64 g/cm3
Raw formation energy   98 meV/atom
DFT total energy   -40.62 eV per atom

abc: 7.2637 7.2637 7.2637
angles: 32.75 32.75 32.75
Sites, in units of the cell vectors:
Hg (0.0000, 0.0000, 0.0000)
Sb (0.5118, 0.5118, 0.5118)
Sb (0.7540, 0.7540, 0.7540)
As (0.2574, 0.2574, 0.2574)

***

(10)
Material: LaSb2Os
Method: DFT, SCAN
State: single point on PBEsol structure

Summary:
Mass density   10.76 g/cm3
Raw formation energy   48 meV/atom
DFT total energy   -47.33 eV per atom

abc: 5.0001 5.0001 5.0001
angles: 60.00 60.00 60.00
Sites, in units of the cell vectors:
La (0.0000, 0.0000, 0.0000)
Sb (0.2500, 0.2500, 0.2500)
Sb (0.7500, 0.7500, 0.7500)
Os (0.5000, 0.5000, 0.5000)

***

Repeat the third record exactly.
Material: Ba2ZrP
Method: DFT, SCAN
State: single point on PBEsol structure

Summary:
Mass density   4.93 g/cm3
DFT formation energy   -0.442 eV per atom
DFT total energy   -30.49 eV per atom

abc: 9.9774 9.9774 3.7798
angles: 100.84 100.84 21.20
Sites, in units of the cell vectors:
Ba (0.1548, 0.1548, 0.1540)
Ba (0.8452, 0.8452, 0.8460)
Zr (0.0000, 0.0000, 0.5000)
P (0.5000, 0.5000, 0.0000)